Entry 1:
SrSbAs (PBE, relaxed); energy relative to the lowest polymorph listed for this composition = 0 meV per atom
1.0
4.447 0.000 0.000
0.000 4.388 0.000
-2.009 0.000 9.183
Sr Sb As
2 2 2
direct
0.090 0.250 0.198
0.910 0.750 0.802
0.286 0.750 0.509
0.714 0.250 0.491
0.470 0.250 0.929
0.530 0.750 0.071

Entry 2:
CaSc2As (PBE, relaxed); ΔH_f (0 K) = -0.322 eV/atom
1.0
4.444 0.000 0.000
0.000 4.444 0.000
0.000 0.000 4.624
Ca Sc As
1 2 1
direct
0.000 0.000 0.000
0.000 0.500 0.500
0.500 0.000 0.500
0.500 0.500 0.000

Entry 3:
Nd3Al2GaPt9 (PBE, relaxed); ΔH_f (0 K) = -0.685 eV/atom
1.0
6.455 0.000 0.000
-3.228 5.590 0.000
0.000 0.000 9.088
Nd Al Ga Pt
3 2 1 9
direct
0.000 0.000 0.000
0.333 0.667 0.721
0.667 0.333 0.279
0.333 0.667 0.182
0.667 0.333 0.818
0.000 0.000 0.500
0.000 0.500 0.000
0.140 0.281 0.282
0.140 0.860 0.282
0.281 0.140 0.718
0.500 0.000 0.000
0.500 0.500 0.000
0.719 0.860 0.282
0.860 0.140 0.718
0.860 0.719 0.718

Entry 4:
BaBeTc2 (PBE, relaxed); ΔH_f (0 K) = 0.862 eV/atom
1.0
1.543 0.891 9.062
-1.543 0.891 9.062
0.000 -1.782 9.062
Ba Be Tc
1 1 2
direct
0.000 0.000 0.000
0.763 0.763 0.763
0.221 0.221 0.221
0.487 0.487 0.487